Entry from the Alexandria database: Y2ZnCd after structural relaxation (GGA-PBE).

Cell: 5.0807 5.0807 6.4067 Å, 78.14 78.14 42.05°
Atoms (fractional coordinates):
1 Zn 0.7500 0.7500 0.7500
2 Cd 0.2500 0.2500 0.2500
3 Y 0.4949 0.4949 0.5127
4 Y 0.0051 0.0051 0.9873

Computed properties:
- Crystal system: monoclinic
- Offset from the most stable computed form: 204 meV per atom
- Magnetization: 0.000 μB/atom
- Calculated formation energy: -0.154 eV/atom